1.
Computed, not measured: a relaxed structure of ScTcN2O at the PBE level of DFT.

a b c (Å): 3.866 3.866 3.898
angles (deg): 90.00 90.00 90.00
Fractional coordinates of all 5 atoms:
N 0.500 0.000 0.000
N 0.000 0.500 0.000
Sc 0.500 0.500 0.500
O 0.000 0.000 0.500
Tc 0.000 0.000 0.000

Values from the calculation:
M_tot (μB per formula unit): 0.0

***

2.
Computed, not measured: a relaxed structure of ScTcNO2 at the PBE level of DFT.

a b c (Å): 3.916 3.916 3.839
angles (deg): 90.00 90.00 90.00
Fractional coordinates of all 5 atoms:
Sc 0.500 0.500 0.500
O 0.500 0.000 0.000
O 0.000 0.500 0.000
Tc 0.000 0.000 0.000
N 0.000 0.000 0.500

Values from the calculation:
M_tot (μB per formula unit): 0.0

***

3.
Computed, not measured: a relaxed structure of ScTcNO2 at the PBE level of DFT.

a b c (Å): 3.978 3.978 4.241
angles (deg): 90.00 90.00 90.00
Fractional coordinates of all 5 atoms:
O 0.000 0.500 0.000
O 0.500 0.000 0.000
Tc 0.500 0.500 0.500
N 0.000 0.000 0.500
Sc 0.000 0.000 0.000

Values from the calculation:
M_tot (μB per formula unit): 3.0

***

4.
Computed, not measured: a relaxed structure of ScTeNO2 at the PBE level of DFT.

a b c (Å): 3.850 6.042 3.850
angles (deg): 90.00 90.00 90.00
Fractional coordinates of all 5 atoms:
Sc 0.000 0.500 0.000
O 0.500 0.000 0.000
O 0.000 0.000 0.500
N 0.500 0.500 0.500
Te 0.000 0.000 0.000

Values from the calculation:
M_tot (μB per formula unit): 1.1

***

5.
Computed, not measured: a relaxed structure of ScTe2NO at the PBE level of DFT.

a b c (Å): 4.635 4.635 4.158
angles (deg): 90.00 90.00 90.00
Fractional coordinates of all 5 atoms:
Sc 0.500 0.500 0.500
N 0.000 0.000 0.500
O 0.000 0.000 0.000
Te 0.000 0.500 0.000
Te 0.500 0.000 0.000

Values from the calculation:
Excess energy over the best structure of this formula in the dataset (kJ per mole of atoms): 0.00
M_tot (μB per formula unit): 0.0

***

6.
Computed, not measured: a relaxed structure of ScTe2NO at the PBE level of DFT.

a b c (Å): 5.560 4.030 5.560
angles (deg): 90.00 90.00 90.00
Fractional coordinates of all 5 atoms:
O 0.500 0.500 0.500
N 0.000 0.500 0.000
Te 0.000 0.000 0.500
Te 0.500 0.000 0.000
Sc 0.000 0.000 0.000

Values from the calculation:
Excess energy over the best structure of this formula in the dataset (kJ per mole of atoms): 22.87
M_tot (μB per formula unit): 0.4

***

7.
Computed, not measured: a relaxed structure of ScTeNO2 at the PBE level of DFT.

a b c (Å): 4.102 4.102 4.213
angles (deg): 90.00 90.00 90.00
Fractional coordinates of all 5 atoms:
O 0.500 0.000 0.000
O 0.000 0.500 0.000
Sc 0.500 0.500 0.500
N 0.000 0.000 0.500
Te 0.000 0.000 0.000

Values from the calculation:
M_tot (μB per formula unit): 0.6

***

8.
Computed, not measured: a relaxed structure of ScTeNO2 at the PBE level of DFT.

a b c (Å): 3.984 3.984 4.347
angles (deg): 90.00 90.00 90.00
Fractional coordinates of all 5 atoms:
Te 0.500 0.500 0.500
O 0.500 0.000 0.000
O 0.000 0.500 0.000
N 0.000 0.000 0.500
Sc 0.000 0.000 0.000

Values from the calculation:
M_tot (μB per formula unit): 0.0

***

9.
Computed, not measured: a relaxed structure of ScTiNO2 at the PBE level of DFT.

a b c (Å): 3.763 3.763 4.036
angles (deg): 90.00 90.00 90.00
Fractional coordinates of all 5 atoms:
Sc 0.500 0.500 0.500
Ti 0.000 0.000 0.000
O 0.500 0.000 0.000
O 0.000 0.500 0.000
N 0.000 0.000 0.500

Values from the calculation:
M_tot (μB per formula unit): 0.0

***

10.
Computed, not measured: a relaxed structure of ScTiNO2 at the PBE level of DFT.

a b c (Å): 3.905 3.905 4.146
angles (deg): 90.00 90.00 90.00
Fractional coordinates of all 5 atoms:
O 0.500 0.000 0.000
O 0.000 0.500 0.000
N 0.000 0.000 0.500
Sc 0.000 0.000 0.000
Ti 0.500 0.500 0.500

Values from the calculation:
M_tot (μB per formula unit): 0.0

***

11.
Computed, not measured: a relaxed structure of ScTlN2O at the PBE level of DFT.

a b c (Å): 4.179 4.179 4.162
angles (deg): 90.00 90.00 90.00
Fractional coordinates of all 5 atoms:
O 0.000 0.000 0.500
Tl 0.000 0.000 0.000
N 0.000 0.500 0.000
N 0.500 0.000 0.000
Sc 0.500 0.500 0.500

Values from the calculation:
M_tot (μB per formula unit): 0.0

***

12.
Computed, not measured: a relaxed structure of ScTlN2O at the PBE level of DFT.

a b c (Å): 4.443 4.443 4.083
angles (deg): 90.00 90.00 90.00
Fractional coordinates of all 5 atoms:
N 0.500 0.000 0.000
N 0.000 0.500 0.000
Sc 0.000 0.000 0.000
O 0.000 0.000 0.500
Tl 0.500 0.500 0.500

Values from the calculation:
M_tot (μB per formula unit): 3.8

***

Number 1: calculated total energy -8.260 eV/atom. Number 2: calculated total energy -8.082 eV/atom. Number 3: calculated total energy -7.305 eV/atom. Number 4: calculated total energy -5.507 eV/atom. Number 5: calculated total energy -4.743 eV/atom. Number 6: calculated total energy -4.506 eV/atom. Number 7: calculated total energy -6.000 eV/atom. Number 8: calculated total energy -6.186 eV/atom. Number 9: calculated total energy -8.571 eV/atom. Number 10: calculated total energy -7.591 eV/atom. Number 11: calculated total energy -5.251 eV/atom. Number 12: calculated total energy -5.984 eV/atom.